Record 1
A plane-wave DFT calculation with GGA-PBE was carried out for TiBi3W after structural relaxation.

Structure (CIF):
```
data_TiBi3W
_space_group_name_H-M_alt 'P m -3 m'
_space_group_IT_number 221
_space_group_name_Hall '-P 4 2 3'
_cell_length_a 5.4152
_cell_length_b 5.4152
_cell_length_c 5.4152
_cell_angle_alpha 90.00
_cell_angle_beta 90.00
_cell_angle_gamma 90.00
loop_
_atom_site_label
_atom_site_fract_x
_atom_site_fract_y
_atom_site_fract_z
_atom_site_occupancy
Ti1 0.0000 0.0000 0.0000 1
Bi1 0.0000 0.5000 0.5000 1
W1 0.5000 0.5000 0.5000 1
```

Output
Energy of formation = 1166 meV/atom

Record 2
A plane-wave DFT calculation with GGA-PBE was carried out for HfTi2F after structural relaxation.

Structure (CIF):
```
data_HfTi2F
_space_group_name_H-M_alt 'I -4 2 d'
_space_group_IT_number 122
_space_group_name_Hall 'I -4 2bw'
_cell_length_a 7.1557
_cell_length_b 7.1557
_cell_length_c 5.0801
_cell_angle_alpha 90.00
_cell_angle_beta 90.00
_cell_angle_gamma 90.00
loop_
_atom_site_label
_atom_site_fract_x
_atom_site_fract_y
_atom_site_fract_z
_atom_site_occupancy
Hf1 0.0000 0.0000 0.0000 1
Ti1 0.1544 0.2500 0.6250 1
F1 0.0000 0.0000 0.5000 1
```

Output
Uncorrected formation energy = -522.3 meV per atom

Record 3
A plane-wave DFT calculation with GGA-PBE was carried out for Ac2Sn5Pd3 after structural relaxation.

Structure (CIF):
```
data_Ac2Sn5Pd3
_space_group_name_H-M_alt 'C m c 21'
_space_group_IT_number 36
_space_group_name_Hall 'C 2c -2'
_cell_length_a 4.7402
_cell_length_b 27.5362
_cell_length_c 7.5772
_cell_angle_alpha 90.00
_cell_angle_beta 90.00
_cell_angle_gamma 90.00
loop_
_atom_site_label
_atom_site_fract_x
_atom_site_fract_y
_atom_site_fract_z
_atom_site_occupancy
Ac1 0.0000 0.0244 0.0000 1
Ac2 0.0000 0.3267 0.0137 1
Sn1 0.0000 0.0962 0.3702 1
Sn2 0.0000 0.2052 0.8220 1
Sn3 0.0000 0.2118 0.2295 1
Sn4 0.0000 0.3772 0.4973 1
Sn5 0.0000 0.4487 0.1667 1
Pd1 0.0000 0.1080 0.7386 1
Pd2 0.0000 0.2772 0.5333 1
Pd3 0.0000 0.4478 0.7847 1
```

Output
Energy of formation = -695 meV/atom

Record 4
A plane-wave DFT calculation with GGA-PBE was carried out for Ca2AlBiO6 after structural relaxation.

Structure (CIF):
```
data_Ca2AlBiO6
_space_group_name_H-M_alt 'P 1 21/c 1'
_space_group_IT_number 14
_space_group_name_Hall '-P 2ybc'
_cell_length_a 5.5085
_cell_length_b 5.6404
_cell_length_c 9.5710
_cell_angle_alpha 90.00
_cell_angle_beta 124.77
_cell_angle_gamma 90.00
loop_
_atom_site_label
_atom_site_fract_x
_atom_site_fract_y
_atom_site_fract_z
_atom_site_occupancy
Ca1 0.2354 0.0516 0.2489 1
Al1 0.0000 0.0000 0.5000 1
Bi1 0.5000 0.0000 0.0000 1
O1 0.1349 0.2159 0.9474 1
O2 0.2367 0.6915 0.9502 1
O3 0.3342 0.0343 0.7366 1
```

Output
Uncorrected formation energy = -2271.9 meV per atom

Record 5
A plane-wave DFT calculation with GGA-PBE was carried out for KBa2Y after structural relaxation.

Structure (CIF):
```
data_KBa2Y
_space_group_name_H-M_alt 'F -4 3 m'
_space_group_IT_number 216
_space_group_name_Hall 'F -4 2 3'
_cell_length_a 9.4259
_cell_length_b 9.4259
_cell_length_c 9.4259
_cell_angle_alpha 90.00
_cell_angle_beta 90.00
_cell_angle_gamma 90.00
loop_
_atom_site_label
_atom_site_fract_x
_atom_site_fract_y
_atom_site_fract_z
_atom_site_occupancy
K1 0.0000 0.0000 0.0000 1
Ba1 0.0000 0.0000 0.5000 1
Ba2 0.2500 0.2500 0.7500 1
Y1 0.2500 0.2500 0.2500 1
```

Output
Energy of formation = 393 meV/atom

Record 6
A plane-wave DFT calculation with GGA-PBE was carried out for RbCo4Cl7 after structural relaxation.

Structure (CIF):
```
data_RbCo4Cl7
_space_group_name_H-M_alt 'P m n 21'
_space_group_IT_number 31
_space_group_name_Hall 'P 2ac -2'
_cell_length_a 15.6898
_cell_length_b 6.3119
_cell_length_c 6.0476
_cell_angle_alpha 90.00
_cell_angle_beta 90.00
_cell_angle_gamma 90.00
loop_
_atom_site_label
_atom_site_fract_x
_atom_site_fract_y
_atom_site_fract_z
_atom_site_occupancy
Rb1 0.0000 0.1903 0.0000 1
Co1 0.1226 0.6824 0.5822 1
Co2 0.2491 0.1887 0.5703 1
Cl1 0.0000 0.8376 0.4695 1
Cl2 0.1198 0.3303 0.4962 1
Cl3 0.1207 0.6992 0.9603 1
Cl4 0.2446 0.8392 0.4536 1
```

Output
Uncorrected formation energy = -646.1 meV per atom

Record 7
A plane-wave DFT calculation with GGA-PBE was carried out for K3NpBi3S8 after structural relaxation.

Structure (CIF):
```
data_K3NpBi3S8
_space_group_name_H-M_alt 'R -3 m'
_space_group_IT_number 166
_space_group_name_Hall '-R 3 2"'
_cell_length_a 8.2236
_cell_length_b 8.2236
_cell_length_c 22.6675
_cell_angle_alpha 90.00
_cell_angle_beta 90.00
_cell_angle_gamma 120.00
loop_
_atom_site_label
_atom_site_fract_x
_atom_site_fract_y
_atom_site_fract_z
_atom_site_occupancy
K1 0.0000 0.5000 0.0000 1
Np1 0.0000 0.0000 0.5000 1
Bi1 0.0000 0.5000 0.5000 1
S1 0.0000 0.0000 0.2368 1
S2 0.0156 0.5078 0.2327 1
```

Output
Uncorrected formation energy = -907.8 meV per atom

Record 8
A plane-wave DFT calculation with GGA-PBE was carried out for AlIn2Cl after structural relaxation.

Structure (CIF):
```
data_AlIn2Cl
_space_group_name_H-M_alt 'C m m m'
_space_group_IT_number 65
_space_group_name_Hall '-C 2 2'
_cell_length_a 3.8711
_cell_length_b 5.3841
_cell_length_c 9.2960
_cell_angle_alpha 90.00
_cell_angle_beta 90.00
_cell_angle_gamma 90.00
loop_
_atom_site_label
_atom_site_fract_x
_atom_site_fract_y
_atom_site_fract_z
_atom_site_occupancy
Al1 0.0000 0.0000 0.0000 1
In1 0.0000 0.5000 0.2557 1
Cl1 0.0000 0.0000 0.5000 1
```

Output
Uncorrected formation energy = -113.7 meV per atom

Record 9
A plane-wave DFT calculation with GGA-PBE was carried out for Be4Zn after structural relaxation.

Structure (CIF):
```
data_Be4Zn
_space_group_name_H-M_alt 'P m -3 m'
_space_group_IT_number 221
_space_group_name_Hall '-P 4 2 3'
_cell_length_a 4.0597
_cell_length_b 4.0597
_cell_length_c 4.0597
_cell_angle_alpha 90.00
_cell_angle_beta 90.00
_cell_angle_gamma 90.00
loop_
_atom_site_label
_atom_site_fract_x
_atom_site_fract_y
_atom_site_fract_z
_atom_site_occupancy
Be1 0.0000 0.0000 0.0000 1
Be2 0.0000 0.5000 0.5000 1
Zn1 0.5000 0.5000 0.5000 1
```

Output
Energy of formation = 1097 meV/atom

Record 10
A plane-wave DFT calculation with GGA-PBE was carried out for LaCrSn2B after structural relaxation.

Structure (CIF):
```
data_LaCrSn2B
_space_group_name_H-M_alt 'P 4/m m m'
_space_group_IT_number 123
_space_group_name_Hall '-P 4 2'
_cell_length_a 5.0367
_cell_length_b 5.0367
_cell_length_c 4.2291
_cell_angle_alpha 90.00
_cell_angle_beta 90.00
_cell_angle_gamma 90.00
loop_
_atom_site_label
_atom_site_fract_x
_atom_site_fract_y
_atom_site_fract_z
_atom_site_occupancy
La1 0.0000 0.0000 0.0000 1
Cr1 0.5000 0.5000 0.5000 1
Sn1 0.0000 0.5000 0.5000 1
B1 0.5000 0.5000 0.0000 1
```

Output
Energy of formation = 195 meV/atom

Record 11
A plane-wave DFT calculation with GGA-PBE was carried out for DyHoNp after structural relaxation.

Structure (CIF):
```
data_DyHoNp
_space_group_name_H-M_alt 'C 1 2/m 1'
_space_group_IT_number 12
_space_group_name_Hall '-C 2y'
_cell_length_a 16.8244
_cell_length_b 3.5456
_cell_length_c 5.7508
_cell_angle_alpha 90.00
_cell_angle_beta 100.51
_cell_angle_gamma 90.00
loop_
_atom_site_label
_atom_site_fract_x
_atom_site_fract_y
_atom_site_fract_z
_atom_site_occupancy
Dy1 0.0664 0.0000 0.2912 1
Ho1 0.1221 0.5000 0.8189 1
Np1 0.2381 0.5000 0.3585 1
```

Output
Energy of formation = 227 meV/atom

Record 12
A plane-wave DFT calculation with GGA-PBE was carried out for Pm2SbSe5 after structural relaxation.

Structure (CIF):
```
data_Pm2SbSe5
_space_group_name_H-M_alt 'C m c m'
_space_group_IT_number 63
_space_group_name_Hall '-C 2c 2'
_cell_length_a 5.6560
_cell_length_b 14.3134
_cell_length_c 13.6822
_cell_angle_alpha 90.00
_cell_angle_beta 90.00
_cell_angle_gamma 90.00
loop_
_atom_site_label
_atom_site_fract_x
_atom_site_fract_y
_atom_site_fract_z
_atom_site_occupancy
Pm1 0.0000 0.1598 0.0696 1
Sb1 0.0000 0.1643 0.7500 1
Se1 0.0000 0.0412 0.6036 1
Se2 0.0000 0.2810 0.2500 1
Se3 0.0000 0.2986 0.5907 1
```

Output
Uncorrected formation energy = -1133.9 meV per atom

Record 13
A plane-wave DFT calculation with GGA-PBE was carried out for Pr3Sm5Er2 after structural relaxation.

Structure (CIF):
```
data_Pr3Sm5Er2
_space_group_name_H-M_alt 'I b a m'
_space_group_IT_number 72
_space_group_name_Hall '-I 2 2c'
_cell_length_a 11.3529
_cell_length_b 17.9774
_cell_length_c 6.8034
_cell_angle_alpha 90.00
_cell_angle_beta 90.00
_cell_angle_gamma 90.00
loop_
_atom_site_label
_atom_site_fract_x
_atom_site_fract_y
_atom_site_fract_z
_atom_site_occupancy
Pr1 0.0000 0.0000 0.2500 1
Pr2 0.2071 0.3300 0.0000 1
Sm1 0.0000 0.1799 0.2500 1
Sm2 0.0000 0.5000 0.2500 1
Sm3 0.1038 0.3293 0.5000 1
Er1 0.2361 0.0264 0.0000 1
```

Output
Energy of formation = 244 meV/atom

Record 14
A plane-wave DFT calculation with GGA-PBE was carried out for LiFeBr2 after structural relaxation.

Structure (CIF):
```
data_LiFeBr2
_space_group_name_H-M_alt 'I -4 2 d'
_space_group_IT_number 122
_space_group_name_Hall 'I -4 2bw'
_cell_length_a 5.7563
_cell_length_b 5.7563
_cell_length_c 11.9435
_cell_angle_alpha 90.00
_cell_angle_beta 90.00
_cell_angle_gamma 90.00
loop_
_atom_site_label
_atom_site_fract_x
_atom_site_fract_y
_atom_site_fract_z
_atom_site_occupancy
Li1 0.0000 0.0000 0.0000 1
Fe1 0.0000 0.0000 0.5000 1
Br1 0.2409 0.2500 0.6250 1
```

Output
Uncorrected formation energy = -526.6 meV per atom

Record 15
A plane-wave DFT calculation with GGA-PBE was carried out for Ir3Rh5 after structural relaxation.

Structure (CIF):
```
data_Ir3Rh5
_space_group_name_H-M_alt 'C m m m'
_space_group_IT_number 65
_space_group_name_Hall '-C 2 2'
_cell_length_a 7.7165
_cell_length_b 7.7216
_cell_length_c 3.8434
_cell_angle_alpha 90.00
_cell_angle_beta 90.00
_cell_angle_gamma 90.00
loop_
_atom_site_label
_atom_site_fract_x
_atom_site_fract_y
_atom_site_fract_z
_atom_site_occupancy
Ir1 0.0000 0.0000 0.0000 1
Ir2 0.2491 0.0000 0.5000 1
Rh1 0.0000 0.2495 0.5000 1
Rh2 0.0000 0.5000 0.0000 1
Rh3 0.2500 0.2500 0.0000 1
```

Output
Energy of formation = 10 meV/atom

Record 16
A plane-wave DFT calculation with GGA-PBE was carried out for GaTe2PN after structural relaxation.

Structure (CIF):
```
data_GaTe2PN
_space_group_name_H-M_alt 'P 4/m m m'
_space_group_IT_number 123
_space_group_name_Hall '-P 4 2'
_cell_length_a 5.8812
_cell_length_b 5.8812
_cell_length_c 3.2201
_cell_angle_alpha 90.00
_cell_angle_beta 90.00
_cell_angle_gamma 90.00
loop_
_atom_site_label
_atom_site_fract_x
_atom_site_fract_y
_atom_site_fract_z
_atom_site_occupancy
Ga1 0.0000 0.0000 0.0000 1
Te1 0.0000 0.5000 0.5000 1
P1 0.5000 0.5000 0.5000 1
N1 0.5000 0.5000 0.0000 1
```

Output
Uncorrected formation energy = 408.8 meV per atom

Record 17
A plane-wave DFT calculation with GGA-PBE was carried out for Tb4Pr5Th after structural relaxation.

Structure (CIF):
```
data_Tb4Pr5Th
_space_group_name_H-M_alt 'P -1'
_space_group_IT_number 2
_space_group_name_Hall '-P 1'
_cell_length_a 6.5940
_cell_length_b 6.6504
_cell_length_c 8.7342
_cell_angle_alpha 68.81
_cell_angle_beta 78.05
_cell_angle_gamma 86.41
loop_
_atom_site_label
_atom_site_fract_x
_atom_site_fract_y
_atom_site_fract_z
_atom_site_occupancy
Tb1 0.0244 0.2865 0.4032 1
Tb2 0.3205 0.9799 0.1799 1
Pr1 0.1570 0.1796 0.8088 1
Pr2 0.2672 0.6183 0.9421 1
Pr3 0.5000 0.5000 0.5000 1
Th1 0.5000 0.0000 0.5000 1
```

Output
Energy of formation = 165 meV/atom

Record 18
A plane-wave DFT calculation with GGA-PBE was carried out for Pm2PrDy4Ho after structural relaxation.

Structure (CIF):
```
data_Pm2PrDy4Ho
_space_group_name_H-M_alt 'I m m a'
_space_group_IT_number 74
_space_group_name_Hall '-I 2b 2'
_cell_length_a 6.8315
_cell_length_b 11.8525
_cell_length_c 13.2914
_cell_angle_alpha 90.00
_cell_angle_beta 90.00
_cell_angle_gamma 90.00
loop_
_atom_site_label
_atom_site_fract_x
_atom_site_fract_y
_atom_site_fract_z
_atom_site_occupancy
Pm1 0.0000 0.0000 0.0000 1
Pm2 0.2500 0.2500 0.2500 1
Pr1 0.0000 0.0000 0.5000 1
Dy1 0.0000 0.0032 0.7503 1
Dy2 0.2505 0.2500 0.5039 1
Ho1 0.2500 0.2500 0.7500 1
```

Output
Energy of formation = 414 meV/atom

Record 19
A plane-wave DFT calculation with GGA-PBE was carried out for PmScSnPd after structural relaxation.

Structure (CIF):
```
data_PmScSnPd
_space_group_name_H-M_alt 'F -4 3 m'
_space_group_IT_number 216
_space_group_name_Hall 'F -4 2 3'
_cell_length_a 7.2072
_cell_length_b 7.2072
_cell_length_c 7.2072
_cell_angle_alpha 90.00
_cell_angle_beta 90.00
_cell_angle_gamma 90.00
loop_
_atom_site_label
_atom_site_fract_x
_atom_site_fract_y
_atom_site_fract_z
_atom_site_occupancy
Pm1 0.0000 0.0000 0.0000 1
Sc1 0.0000 0.0000 0.5000 1
Sn1 0.2500 0.2500 0.7500 1
Pd1 0.2500 0.2500 0.2500 1
```

Output
Energy of formation = -677 meV/atom

Record 20
A plane-wave DFT calculation with GGA-PBE was carried out for Ce3PrSn2 after structural relaxation.

Structure (CIF):
```
data_Ce3PrSn2
_space_group_name_H-M_alt 'C 1 2/m 1'
_space_group_IT_number 12
_space_group_name_Hall '-C 2y'
_cell_length_a 18.5975
_cell_length_b 4.8750
_cell_length_c 8.1644
_cell_angle_alpha 90.00
_cell_angle_beta 114.45
_cell_angle_gamma 90.00
loop_
_atom_site_label
_atom_site_fract_x
_atom_site_fract_y
_atom_site_fract_z
_atom_site_occupancy
Ce1 0.0685 0.0000 0.1591 1
Ce2 0.1211 0.5000 0.0524 1
Ce3 0.2033 0.5000 0.4194 1
Pr1 0.1139 0.0000 0.6815 1
Sn1 0.0215 0.5000 0.3441 1
Sn2 0.2475 0.0000 0.1539 1
```

Output
Energy of formation = -436 meV/atom

Record 21
A plane-wave DFT calculation with GGA-PBE was carried out for NaPt2C after structural relaxation.

Structure (CIF):
```
data_NaPt2C
_space_group_name_H-M_alt 'F m -3 m'
_space_group_IT_number 225
_space_group_name_Hall '-F 4 2 3'
_cell_length_a 6.0464
_cell_length_b 6.0464
_cell_length_c 6.0464
_cell_angle_alpha 90.00
_cell_angle_beta 90.00
_cell_angle_gamma 90.00
loop_
_atom_site_label
_atom_site_fract_x
_atom_site_fract_y
_atom_site_fract_z
_atom_site_occupancy
Na1 0.0000 0.0000 0.0000 1
Pt1 0.2500 0.2500 0.2500 1
C1 0.0000 0.0000 0.5000 1
```

Output
Energy of formation = 1333 meV/atom

Record 22
A plane-wave DFT calculation with GGA-PBE was carried out for Nd3Sm2Rh2 after structural relaxation.

Structure (CIF):
```
data_Nd3Sm2Rh2
_space_group_name_H-M_alt 'C 1 2/m 1'
_space_group_IT_number 12
_space_group_name_Hall '-C 2y'
_cell_length_a 12.3888
_cell_length_b 3.9076
_cell_length_c 9.1490
_cell_angle_alpha 90.00
_cell_angle_beta 115.66
_cell_angle_gamma 90.00
loop_
_atom_site_label
_atom_site_fract_x
_atom_site_fract_y
_atom_site_fract_z
_atom_site_occupancy
Nd1 0.0000 0.0000 0.0000 1
Nd2 0.1144 0.0000 0.4276 1
Sm1 0.1697 0.5000 0.8114 1
Rh1 0.1811 0.5000 0.2435 1
```

Output
Energy of formation = -471 meV/atom

What are the total DFT energy (no corrections) values for these records? In order: -26.66; -118.82; -203.04; -128.19; -39.34; -100.14; -223.54; -23.04; -10.69; -28.26; -85.76; -160.47; -178.50; -63.31; -126.52; -21.00; -48.19; -135.82; -91.94; -132.82; -69.18; -83.48 eV per cell.